1.
Density functional theory data (PBE) for a relaxed Rb3PdBr crystal.

Calculated values
As for the crystal system: cubic. As for the symmetry: No. 221. The value obtained for the energy above the lowest structure with this stoichiometry is 0.0 meV per atom. The total magnetization comes out at 0.00 μB per atom. The energy comes out at -2.449 eV per atom. The calculation puts the raw formation energy at -0.495 eV per atom.

Structure (extended XYZ):
```
5
Lattice="6.400 0.000 0.000 0.000 6.400 0.000 0.000 0.000 6.400" Properties=species:S:1:pos:R:3 pbc="T T T"
Rb 0.000 0.000 3.200
Br 3.200 3.200 3.200
Rb 0.000 3.200 0.000
Pd 0.000 0.000 0.000
Rb 3.200 0.000 0.000
```

=====

2.
Density functional theory data (PBE) for a relaxed RbPdBr4 crystal.

Calculated values
As for the crystal system: monoclinic. As for the symmetry: No. 12. The total magnetization comes out at 0.17 μB per atom. The energy comes out at -2.849 eV per atom. The calculation puts the raw formation energy at -0.707 eV per atom.

Structure (extended XYZ):
```
12
Lattice="-5.504 4.433 -0.719 -1.301 -0.423 7.351 7.971 5.336 -2.085" Properties=species:S:1:pos:R:3 pbc="T T T"
Rb 1.814 3.380 0.516
Br 2.603 6.097 2.601
Pd 2.197 7.750 0.835
Pd -1.030 1.595 3.712
Br -0.229 6.799 0.351
Br 3.215 6.296 -0.858
Br -0.353 -0.115 1.993
Br -1.436 3.249 1.946
Br -0.948 -0.308 5.358
Br -2.049 3.050 5.405
Br 1.396 2.546 4.196
Rb -0.647 5.965 4.032
```

=====

3.
Density functional theory data (PBE) for a relaxed Rb2PdBr crystal.

Calculated values
As for the crystal system: tetragonal. As for the symmetry: No. 122. The value obtained for the energy above the lowest structure with this stoichiometry is 30.1 meV per atom. The total magnetization comes out at 0.00 μB per atom. The energy comes out at -2.615 eV per atom. The calculation puts the raw formation energy at -0.415 eV per atom.

Structure (extended XYZ):
```
8
Lattice="-4.511 5.520 -5.082 -6.902 -0.728 5.337 -4.126 6.026 2.667" Properties=species:S:1:pos:R:3 pbc="T T T"
Br -5.707 2.396 0.128
Rb -13.114 8.710 2.249
Pd -7.172 6.971 -1.144
Rb -5.887 1.715 3.391
Rb -7.341 6.320 2.070
Rb -4.735 4.892 -1.867
Pd 0.000 0.000 0.000
Br -8.367 3.847 4.066
```

=====

4.
Density functional theory data (PBE) for a relaxed Rb3PdBr6 crystal.

Calculated values
As for the crystal system: monoclinic. As for the symmetry: No. 14. The value obtained for the energy above the lowest structure with this stoichiometry is 0.0 meV per atom. The total magnetization comes out at 0.10 μB per atom. The energy comes out at -2.934 eV per atom. The calculation puts the raw formation energy at -1.120 eV per atom.

Structure (extended XYZ):
```
20
Lattice="7.878 0.000 0.018 0.000 8.611 0.000 0.116 0.000 11.266" Properties=species:S:1:pos:R:3 pbc="T T T"
Br 5.912 1.343 10.808
Rb 4.265 7.926 8.438
Br 6.681 6.247 10.540
Pd 0.000 0.000 0.000
Br 0.914 0.327 8.908
Rb 0.058 0.000 5.633
Rb 3.728 0.685 2.846
Br 6.079 5.649 6.117
Pd 3.997 4.306 5.642
Br 5.309 1.941 6.385
Br 3.199 4.633 8.000
Br 2.685 6.670 4.899
Br 7.080 8.285 2.376
Br 2.082 7.269 0.476
Rb 3.939 4.306 0.009
Rb 0.269 4.991 2.796
Br 4.795 3.979 3.284
Br 1.915 2.963 5.166
Rb 7.725 3.621 8.488
Br 1.312 2.365 0.743
```

=====

5.
Density functional theory data (PBE) for a relaxed Rb2PdRuBr6 crystal.

Calculated values
As for the crystal system: tetragonal. As for the symmetry: No. 139. The total magnetization comes out at 0.19 μB per atom. The energy comes out at -3.402 eV per atom. The calculation puts the raw formation energy at -0.758 eV per atom.

Structure (extended XYZ):
```
10
Lattice="7.459 0.000 0.000 0.000 7.459 0.000 3.730 3.730 5.328" Properties=species:S:1:pos:R:3 pbc="T T T"
Br 5.552 5.552 0.000
Ru 3.730 3.730 0.000
Br 5.552 1.907 0.000
Br 1.907 5.552 0.000
Rb 3.730 7.459 2.664
Br 1.907 1.907 0.000
Pd 0.000 0.000 0.000
Br 3.730 3.730 2.572
Br 7.459 7.459 2.756
Rb 7.459 3.730 2.664
```

=====

6.
Density functional theory data (PBE) for a relaxed Rb2PdSBr6 crystal.

Calculated values
As for the crystal system: tetragonal. As for the symmetry: No. 139. The total magnetization comes out at 0.00 μB per atom. The energy comes out at -2.867 eV per atom. The calculation puts the raw formation energy at -0.738 eV per atom.

Structure (extended XYZ):
```
10
Lattice="7.547 0.000 0.000 0.000 7.547 0.000 3.773 3.773 5.303" Properties=species:S:1:pos:R:3 pbc="T T T"
Pd 0.000 0.000 0.000
S 3.773 3.773 0.000
Br 5.710 1.837 0.000
Br 7.547 7.547 2.628
Rb 3.773 7.547 2.651
Br 3.773 3.773 2.674
Rb 7.547 3.773 2.651
Br 5.710 5.710 0.000
Br 1.837 1.837 0.000
Br 1.837 5.710 0.000
```

=====

7.
Density functional theory data (PBE) for a relaxed RbSbPd2Br crystal.

Calculated values
As for the crystal system: tetragonal. As for the symmetry: No. 123. The total magnetization comes out at 0.00 μB per atom. The energy comes out at -2.195 eV per atom. The calculation puts the raw formation energy at 1.235 eV per atom.

Structure (extended XYZ):
```
5
Lattice="-3.651 3.527 -0.642 0.756 -0.431 -6.666 -3.538 -3.693 -0.163" Properties=species:S:1:pos:R:3 pbc="T T T"
Pd -1.826 1.764 -0.321
Rb 0.000 0.000 0.000
Br -3.217 -0.298 -3.735
Pd -1.769 -1.846 -0.081
Sb 0.378 -0.215 -3.333
```

=====

8.
Density functional theory data (PBE) for a relaxed Rb2SbPdBr6 crystal.

Calculated values
As for the crystal system: tetragonal. As for the symmetry: No. 139. The total magnetization comes out at 0.00 μB per atom. The energy comes out at -3.093 eV per atom. The calculation puts the raw formation energy at -0.964 eV per atom.

Structure (extended XYZ):
```
10
Lattice="7.803 0.000 0.000 0.000 7.803 0.000 3.902 3.902 5.507" Properties=species:S:1:pos:R:3 pbc="T T T"
Pd 3.902 3.902 0.000
Br 3.902 3.902 2.690
Br 1.995 5.808 0.000
Br 7.803 7.803 2.817
Rb 3.902 7.803 2.753
Br 5.808 1.995 0.000
Br 1.995 1.995 0.000
Br 5.808 5.808 0.000
Rb 7.803 3.902 2.753
Sb 0.000 0.000 0.000
```

=====

9.
Density functional theory data (PBE) for a relaxed Rb2SbPdBr crystal.

Calculated values
As for the crystal system: tetragonal. As for the symmetry: No. 123. The total magnetization comes out at 0.00 μB per atom. The energy comes out at -2.506 eV per atom. The calculation puts the raw formation energy at 0.079 eV per atom.

Structure (extended XYZ):
```
5
Lattice="6.291 0.000 0.000 0.000 5.705 0.000 0.000 0.000 6.291" Properties=species:S:1:pos:R:3 pbc="T T T"
Br 0.000 0.000 0.000
Rb 3.146 0.000 0.000
Pd 3.146 2.853 3.146
Sb 0.000 2.853 0.000
Rb 0.000 0.000 3.146
```

=====

10.
Density functional theory data (PBE) for a relaxed RbPdSe2Br crystal.

Calculated values
As for the crystal system: tetragonal. As for the symmetry: No. 123. The value obtained for the energy above the lowest structure with this stoichiometry is 1373.4 meV per atom. The total magnetization comes out at 0.81 μB per atom. The energy comes out at -1.989 eV per atom. The calculation puts the raw formation energy at 0.971 eV per atom.

Structure (extended XYZ):
```
5
Lattice="6.370 0.000 0.000 0.000 6.370 0.000 0.000 0.000 6.262" Properties=species:S:1:pos:R:3 pbc="T T T"
Pd 3.185 3.185 3.131
Se 3.185 0.000 0.000
Rb 0.000 0.000 0.000
Se 0.000 3.185 0.000
Br 0.000 0.000 3.131
```

=====

11.
Density functional theory data (PBE) for a relaxed Rb2PdSeBr crystal.

Calculated values
As for the crystal system: tetragonal. As for the symmetry: No. 123. The total magnetization comes out at 0.20 μB per atom. The energy comes out at -2.934 eV per atom. The calculation puts the raw formation energy at -0.477 eV per atom.

Structure (extended XYZ):
```
5
Lattice="-0.551 6.256 -1.746 1.256 -1.148 -4.509 -6.269 -0.971 -1.499" Properties=species:S:1:pos:R:3 pbc="T T T"
Rb -3.135 -0.485 -0.749
Br 0.000 0.000 0.000
Pd 0.628 -0.574 -2.254
Rb -0.276 3.128 -0.873
Se -2.782 2.069 -3.877
```

=====

12.
Density functional theory data (PBE) for a relaxed RbPdSeBr6 crystal.

Calculated values
As for the crystal system: triclinic. As for the symmetry: No. 1. The total magnetization comes out at 0.11 μB per atom. The energy comes out at -2.704 eV per atom. The calculation puts the raw formation energy at -0.517 eV per atom.

Structure (extended XYZ):
```
9
Lattice="-1.768 -6.328 1.429 4.383 -7.547 -2.601 4.976 3.594 5.245" Properties=species:S:1:pos:R:3 pbc="T T T"
Br 2.248 -7.714 1.231
Pd 4.474 -7.266 2.229
Br 4.933 -5.668 0.454
Br 6.755 -7.051 3.121
Br 1.005 -3.395 0.686
Rb 8.714 -4.035 2.982
Br 2.758 -4.465 3.746
Se 3.202 -3.153 1.744
Br 5.632 -2.332 2.740
```

=====

13.
Density functional theory data (PBE) for a relaxed RbPdSe2Br crystal.

Calculated values
As for the crystal system: tetragonal. As for the symmetry: No. 123. The value obtained for the energy above the lowest structure with this stoichiometry is 0.0 meV per atom. The total magnetization comes out at 0.28 μB per atom. The energy comes out at -3.363 eV per atom. The calculation puts the raw formation energy at -0.402 eV per atom.

Structure (extended XYZ):
```
5
Lattice="-1.084 -4.418 2.136 -1.748 -1.697 -4.396 5.123 -1.889 -1.308" Properties=species:S:1:pos:R:3 pbc="T T T"
Se -0.874 -0.848 -2.198
Se -0.542 -2.209 1.068
Br 2.561 -0.945 -0.654
Rb 1.145 -4.002 -1.784
Pd 0.000 0.000 0.000
```

=====

14.
Density functional theory data (PBE) for a relaxed RbSnPd2Br crystal.

Calculated values
As for the crystal system: tetragonal. As for the symmetry: No. 123. The total magnetization comes out at 0.00 μB per atom. The energy comes out at -2.320 eV per atom. The calculation puts the raw formation energy at 1.086 eV per atom.

Structure (extended XYZ):
```
5
Lattice="5.141 0.000 0.000 0.000 6.790 0.000 0.000 0.000 5.141" Properties=species:S:1:pos:R:3 pbc="T T T"
Br 2.571 3.395 2.571
Pd 0.000 0.000 2.571
Sn 0.000 3.395 0.000
Rb 0.000 0.000 0.000
Pd 2.571 0.000 0.000
```

=====

15.
Density functional theory data (PBE) for a relaxed Rb2SrPdBr6 crystal.

Calculated values
As for the crystal system: cubic. As for the symmetry: No. 225. The total magnetization comes out at 0.20 μB per atom. The energy comes out at -3.217 eV per atom. The calculation puts the raw formation energy at -1.332 eV per atom.

Structure (extended XYZ):
```
10
Lattice="8.011 0.000 0.000 0.000 8.011 0.000 4.005 4.005 5.668" Properties=species:S:1:pos:R:3 pbc="T T T"
Br 1.888 1.888 0.000
Rb 8.011 4.005 2.834
Sr 4.005 4.005 0.000
Br 1.888 6.122 0.000
Br 4.005 4.005 2.995
Pd 0.000 0.000 0.000
Br 6.122 1.888 0.000
Br 8.011 8.011 2.673
Br 6.122 6.122 0.000
Rb 4.005 8.011 2.834
```

=====

16.
Density functional theory data (PBE) for a relaxed RbSrPdBr2 crystal.

Calculated values
As for the crystal system: tetragonal. As for the symmetry: No. 123. The total magnetization comes out at 0.05 μB per atom. The energy comes out at -2.848 eV per atom. The calculation puts the raw formation energy at -0.611 eV per atom.

Structure (extended XYZ):
```
5
Lattice="5.745 0.000 0.000 0.000 13.184 0.000 0.000 0.000 5.745" Properties=species:S:1:pos:R:3 pbc="T T T"
Br 0.000 0.000 2.872
Sr 0.000 0.000 0.000
Rb 0.000 6.592 0.000
Br 2.872 0.000 0.000
Pd 2.872 6.592 2.872
```

=====

17.
Density functional theory data (PBE) for a relaxed Rb2TaPdBr6 crystal.

Calculated values
As for the crystal system: tetragonal. As for the symmetry: No. 139. The total magnetization comes out at 0.10 μB per atom. The energy comes out at -3.843 eV per atom. The calculation puts the raw formation energy at -0.941 eV per atom.

Structure (extended XYZ):
```
10
Lattice="7.688 0.000 0.000 0.000 7.688 0.000 3.844 3.844 5.420" Properties=species:S:1:pos:R:3 pbc="T T T"
Br 5.842 5.842 0.000
Br 7.688 7.688 2.609
Rb 7.688 3.844 2.710
Br 5.842 1.846 0.000
Pd 3.844 3.844 0.000
Ta 0.000 0.000 0.000
Br 1.846 1.846 0.000
Br 3.844 3.844 2.811
Br 1.846 5.842 0.000
Rb 3.844 7.688 2.710
```

=====

18.
Density functional theory data (PBE) for a relaxed Rb2TcPdBr crystal.

Calculated values
As for the crystal system: tetragonal. As for the symmetry: No. 123. The total magnetization comes out at 0.80 μB per atom. The energy comes out at -3.132 eV per atom. The calculation puts the raw formation energy at 0.701 eV per atom.

Structure (extended XYZ):
```
5
Lattice="-4.353 -2.876 4.033 1.002 -4.335 -2.009 4.765 -0.964 4.456" Properties=species:S:1:pos:R:3 pbc="T T T"
Rb -2.177 -1.438 2.016
Pd 0.501 -2.167 -1.005
Tc 0.707 -4.087 3.240
Rb 2.382 -0.482 2.228
Br 0.000 0.000 0.000
```

=====

19.
Density functional theory data (PBE) for a relaxed Rb2TcPdBr6 crystal.

Calculated values
As for the crystal system: cubic. As for the symmetry: No. 225. The total magnetization comes out at 0.31 μB per atom. The energy comes out at -3.573 eV per atom. The calculation puts the raw formation energy at -0.820 eV per atom.

Structure (extended XYZ):
```
10
Lattice="7.580 0.000 0.000 0.000 7.580 0.000 3.790 3.790 5.365" Properties=species:S:1:pos:R:3 pbc="T T T"
Br 1.940 1.940 0.000
Br 5.639 1.940 0.000
Pd 0.000 0.000 0.000
Br 7.580 7.580 2.752
Br 1.940 5.639 0.000
Tc 3.790 3.790 0.000
Br 5.639 5.639 0.000
Br 3.790 3.790 2.613
Rb 7.580 3.790 2.682
Rb 3.790 7.580 2.682
```

=====

20.
Density functional theory data (PBE) for a relaxed RbTePdBr6 crystal.

Calculated values
As for the crystal system: triclinic. As for the symmetry: No. 1. The total magnetization comes out at 0.00 μB per atom. The energy comes out at -2.734 eV per atom. The calculation puts the raw formation energy at -0.585 eV per atom.

Structure (extended XYZ):
```
9
Lattice="7.327 0.793 -0.348 4.350 7.540 -0.689 -0.370 -0.635 7.051" Properties=species:S:1:pos:R:3 pbc="T T T"
Rb 4.379 6.675 6.360
Br 5.424 4.911 1.730
Br 8.642 3.542 1.339
Br 4.595 0.590 1.520
Br 5.774 2.627 4.835
Pd 7.581 5.247 2.836
Br 6.800 7.285 3.942
Br 9.588 5.176 4.332
Te 3.749 2.436 3.180
```